A relaxed NaGdHgSb crystal, computed with GGA-PBE.

Properties
- ΔE_f (raw) (eV/atom) = -0.5258
- DFT total energy (eV/atom) = -5.48
- D(E_F) (states/eV/f.u.) = 4.9
- symmetry = No. 216

Cell lengths 5.318, 5.318, 5.318 Å; angles 60.00, 60.00, 60.00 degrees
Each line ends with the local moment (μB).
Element x y z (fractional)
Na 0.000 0.000 0.000  0.00
Hg 0.250 0.250 0.250  0.00
Gd 0.500 0.500 0.500  6.93
Sb 0.750 0.750 0.750  -0.04